Version one
Compound: LaP2RuO
Source: Alexandria via LeMat-Bulk
Functional: GGA-PBE
Structure: relaxed

a = 5.5843 Å, b = 5.5843 Å, c = 4.0830 Å
α = 90.00°, β = 90.00°, γ = 90.00°
Closest atoms and distances in Å follow each position.
Space group P4/mmm (No. 123)
Symmetry-distinct sites (fractional):
La: 0.0000 0.0000 0.0000 [1 per cell]  2 O 2.04
P: 0.0000 0.5000 0.0000 [2 per cell]  2 La 2.79
Ru: 0.5000 0.5000 0.5000 [1 per cell]  8 P 3.46
O: 0.0000 0.0000 0.5000 [1 per cell]  2 La 2.04

## Properties
Calculated density in g/cm³: 4.1
Spin magnetization in μB per cell: 2.35
N(E_F) in states/eV per cell: 7.79

Version two
Compound: LaP2RuO
Source: Alexandria via LeMat-Bulk
Functional: GGA-PBE
Structure: relaxed

a = 4.8626 Å, b = 4.8626 Å, c = 3.8271 Å
α = 90.00°, β = 90.00°, γ = 90.00°
Closest atoms and distances in Å follow each position.
Space group P4/mmm (No. 123)
Symmetry-distinct sites (fractional):
La: 0.0000 0.0000 0.0000 [1 per cell]  8 P 3.09, 4 O 3.44
P: 0.0000 0.5000 0.5000 [2 per cell]  2 Ru 2.43
Ru: 0.5000 0.5000 0.5000 [1 per cell]  2 O 1.91
O: 0.5000 0.5000 0.0000 [1 per cell]  2 Ru 1.91

## Properties
Calculated density in g/cm³: 5.8
Spin magnetization in μB per cell: 0.00
N(E_F) in states/eV per cell: 6.42

Of them, version two has the highest stability.

Version one
Compound: LaPS2O
Source: Alexandria via LeMat-Bulk
Functional: GGA-PBE
Structure: relaxed

a = 4.5331 Å, b = 4.5331 Å, c = 4.2189 Å
α = 90.00°, β = 90.00°, γ = 90.00°
Closest atoms and distances in Å follow each position.
Space group P4/mmm (No. 123)
Symmetry-distinct sites (fractional):
La: 0.0000 0.0000 0.0000 [1 per cell]  8 S 3.10, 4 P 3.21
P: 0.5000 0.5000 0.0000 [1 per cell]  2 O 2.11
S: 0.0000 0.5000 0.5000 [2 per cell]  2 O 2.27
O: 0.5000 0.5000 0.5000 [1 per cell]  2 P 2.11, 4 S 2.27

## Properties
Calculated density in g/cm³: 4.8
Spin magnetization in μB per cell: 0.00
N(E_F) in states/eV per cell: 2.87

Version two
Compound: LaPS2O
Source: Alexandria via LeMat-Bulk
Functional: GGA-PBE
Structure: relaxed

a = 5.5051 Å, b = 5.5051 Å, c = 6.0735 Å
α = 90.00°, β = 90.00°, γ = 90.00°
Closest atoms and distances in Å follow each position.
Space group P4/mmm (No. 123)
Symmetry-distinct sites (fractional):
La: 0.0000 0.0000 0.0000 [1 per cell]  4 S 2.75, 2 P 3.04
P: 0.0000 0.0000 0.5000 [1 per cell]  2 La 3.04
S: 0.0000 0.5000 0.0000 [2 per cell]  2 La 2.75
O: 0.5000 0.5000 0.5000 [1 per cell]  4 P 3.89, 8 S 4.10

## Properties
Calculated density in g/cm³: 2.3
Spin magnetization in μB per cell: 0.19
N(E_F) in states/eV per cell: 8.20

Of them, version one has the highest stability.

Version one
Compound: LaSbP2O
Source: Alexandria via LeMat-Bulk
Functional: GGA-PBE
Structure: relaxed

a = 5.6708 Å, b = 5.6708 Å, c = 4.1791 Å
α = 90.00°, β = 90.00°, γ = 90.00°
Closest atoms and distances in Å follow each position.
Space group P4/mmm (No. 123)
Symmetry-distinct sites (fractional):
La: 0.0000 0.0000 0.0000 [1 per cell]  2 O 2.09
Sb: 0.5000 0.5000 0.5000 [1 per cell]  8 P 3.52
P: 0.0000 0.5000 0.0000 [2 per cell]  2 La 2.84
O: 0.0000 0.0000 0.5000 [1 per cell]  2 La 2.09

## Properties
Calculated density in g/cm³: 4.2
Spin magnetization in μB per cell: 0.01
N(E_F) in states/eV per cell: 4.97

Version two
Compound: LaSbP2O
Source: Alexandria via LeMat-Bulk
Functional: GGA-PBE
Structure: relaxed

a = 5.0675 Å, b = 5.0675 Å, c = 4.1272 Å
α = 90.00°, β = 90.00°, γ = 90.00°
Closest atoms and distances in Å follow each position.
Space group P4/mmm (No. 123)
Symmetry-distinct sites (fractional):
La: 0.0000 0.0000 0.0000 [1 per cell]  8 P 3.27, 4 O 3.58
Sb: 0.5000 0.5000 0.5000 [1 per cell]  2 O 2.06
P: 0.0000 0.5000 0.5000 [2 per cell]  2 Sb 2.53
O: 0.5000 0.5000 0.0000 [1 per cell]  2 Sb 2.06

## Properties
Calculated density in g/cm³: 5.3
Spin magnetization in μB per cell: 0.00
N(E_F) in states/eV per cell: 3.14

Of them, version two has the highest stability.

Version one
Compound: LaSbPO2
Source: Alexandria via LeMat-Bulk
Functional: GGA-PBE
Structure: relaxed

a = 4.2548 Å, b = 4.2548 Å, c = 5.0630 Å
α = 90.00°, β = 90.00°, γ = 90.00°
Closest atoms and distances in Å follow each position.
Space group P4/mmm (No. 123)
Symmetry-distinct sites (fractional):
La: 0.0000 0.0000 0.0000 [1 per cell]  4 P 3.01, 8 O 3.31
Sb: 0.5000 0.5000 0.5000 [1 per cell]  4 O 2.13
P: 0.5000 0.5000 0.0000 [1 per cell]  2 Sb 2.53
O: 0.0000 0.5000 0.5000 [2 per cell]  2 Sb 2.13

## Properties
Calculated density in g/cm³: 5.9
Spin magnetization in μB per cell: 0.00
N(E_F) in states/eV per cell: 0.85

Version two
Compound: LaSbPO2
Source: Alexandria via LeMat-Bulk
Functional: GGA-PBE
Structure: relaxed

a = 4.2366 Å, b = 4.2366 Å, c = 6.6139 Å
α = 90.00°, β = 90.00°, γ = 90.00°
Closest atoms and distances in Å follow each position.
Space group P4/mmm (No. 123)
Symmetry-distinct sites (fractional):
La: 0.0000 0.0000 0.0000 [1 per cell]  4 O 2.12
Sb: 0.5000 0.5000 0.5000 [1 per cell]  4 P 3.00
P: 0.0000 0.0000 0.5000 [1 per cell]  4 Sb 3.00, 2 La 3.31
O: 0.0000 0.5000 0.0000 [2 per cell]  2 La 2.12

## Properties
Calculated density in g/cm³: 4.5
Spin magnetization in μB per cell: 0.94
N(E_F) in states/eV per cell: 3.50

Of them, version one has the highest stability.

Version one
Compound: LaScP2O
Source: Alexandria via LeMat-Bulk
Functional: GGA-PBE
Structure: relaxed

a = 5.0605 Å, b = 5.0605 Å, c = 4.0319 Å
α = 90.00°, β = 90.00°, γ = 90.00°
Closest atoms and distances in Å follow each position.
Space group P4/mmm (No. 123)
Symmetry-distinct sites (fractional):
La: 0.0000 0.0000 0.0000 [1 per cell]  8 P 3.24, 4 O 3.58
Sc: 0.5000 0.5000 0.5000 [1 per cell]  2 O 2.02
P: 0.0000 0.5000 0.5000 [2 per cell]  2 Sc 2.53
O: 0.5000 0.5000 0.0000 [1 per cell]  2 Sc 2.02

## Properties
Calculated density in g/cm³: 4.2
Spin magnetization in μB per cell: 0.91
N(E_F) in states/eV per cell: 5.67

Version two
Compound: LaScP2O
Source: Alexandria via LeMat-Bulk
Functional: GGA-PBE
Structure: relaxed

a = 5.4572 Å, b = 5.4572 Å, c = 4.1747 Å
α = 90.00°, β = 90.00°, γ = 90.00°
Closest atoms and distances in Å follow each position.
Space group P4/mmm (No. 123)
Symmetry-distinct sites (fractional):
La: 0.0000 0.0000 0.0000 [1 per cell]  2 O 2.09
Sc: 0.5000 0.5000 0.5000 [1 per cell]  8 P 3.44
P: 0.0000 0.5000 0.0000 [2 per cell]  2 La 2.73
O: 0.0000 0.0000 0.5000 [1 per cell]  2 La 2.09

## Properties
Calculated density in g/cm³: 3.5
Spin magnetization in μB per cell: 0.01
N(E_F) in states/eV per cell: 6.30

Of them, version one has the highest stability.

Version one
Compound: LaPSeO2
Source: Alexandria via LeMat-Bulk
Functional: GGA-PBE
Structure: relaxed

a = 4.1824 Å, b = 4.1824 Å, c = 4.7396 Å
α = 90.00°, β = 90.00°, γ = 90.00°
Closest atoms and distances in Å follow each position.
Space group P4/mmm (No. 123)
Symmetry-distinct sites (fractional):
La: 0.0000 0.0000 0.0000 [1 per cell]  4 P 2.96, 8 O 3.16
P: 0.5000 0.5000 0.0000 [1 per cell]  2 Se 2.37
Se: 0.5000 0.5000 0.5000 [1 per cell]  4 O 2.09
O: 0.0000 0.5000 0.5000 [2 per cell]  2 Se 2.09

## Properties
Calculated density in g/cm³: 5.6
Spin magnetization in μB per cell: 0.00
N(E_F) in states/eV per cell: 0.03

Version two
Compound: LaPSeO2
Source: Alexandria via LeMat-Bulk
Functional: GGA-PBE
Structure: relaxed

a = 4.1452 Å, b = 4.1452 Å, c = 7.0663 Å
α = 90.00°, β = 90.00°, γ = 90.00°
Closest atoms and distances in Å follow each position.
Space group P4/mmm (No. 123)
Symmetry-distinct sites (fractional):
La: 0.0000 0.0000 0.0000 [1 per cell]  4 O 2.07
P: 0.0000 0.0000 0.5000 [1 per cell]  4 Se 2.93
Se: 0.5000 0.5000 0.5000 [1 per cell]  4 P 2.93
O: 0.0000 0.5000 0.0000 [2 per cell]  2 La 2.07

## Properties
Calculated density in g/cm³: 3.8
Spin magnetization in μB per cell: 0.62
N(E_F) in states/eV per cell: 3.24

Of them, version one has the highest stability.